Entry 1:
VASP calculation (GGA-PBE) on an optimized crystal structure of Ba2InGaPt6.

formation energy from the elements = -6.303 eV/f.u.
density = 11.4 Mg/m³

Cell lengths 6.8912, 6.8941, 6.9940 Å; angles 89.55, 60.50, 60.08 degrees
Space group P-1 (No. 2)
Unique sites:
Ba  0.0846  0.2074  0.1229 [2 per cell]
In  0.5000  0.5000  0.0000 [1 per cell]
Ga  0.5000  0.0000  0.5000 [1 per cell]
Pt  0.0178  0.2389  0.6214 [2 per cell]
Pt  0.3747  0.3648  0.3838 [2 per cell]
Pt  0.3796  0.7596  0.3785 [2 per cell]

---

Entry 2:
VASP calculation (GGA-PBE) on an optimized crystal structure of Ag2IO.

energy above the most stable polymorph in this dataset = 135.9 meV/atom
density = 6.8 Mg/m³
uncorrected formation energy = 0.13 eV per atom

Cell lengths 3.5820, 3.5820, 23.7664 Å; angles 90.00, 90.00, 120.00 degrees
Space group R-3m (No. 166, hexagonal axes)
Unique sites:
Ag  0.0000  0.0000  0.1170 [6 per cell]
I  0.0000  0.0000  0.0000 [3 per cell]
O  0.0000  0.0000  0.5000 [3 per cell]

---

Entry 3:
VASP calculation (GGA-PBE) on an optimized crystal structure of LiNbRu2.

formation energy from the elements = 2.209 eV/f.u.
density = 8.6 Mg/m³

Cell lengths 2.6858, 4.5141, 9.6321 Å; angles 90.00, 90.00, 90.00 degrees
Space group Immm (No. 71)
Unique sites:
Li  0.0000  0.0000  0.0000 [2 per cell]
Nb  0.0000  0.0000  0.5000 [2 per cell]
Ru  0.0000  0.0000  0.2239 [4 per cell]

---

> Which of these has the lowest density?

Ag2IO